Computed, not measured: an optimized crystal structure of TmReSi2Ir at the PBE-GGA level of DFT.

Output
formation energy without anion corrections: -0.76 eV per atom
calculated density: 11.91 Mg/m³

abc: 4.1874 4.1874 5.6384
angles: 111.80 111.80 90.00
Closest atoms and distances in Å follow each position.
Fractional positions:
Ir 0.2500 0.7500 0.5000  4 Si 2.41
Si 0.3741 0.3741 0.7483  2 Re 2.41, 2 Ir 2.41, 1 Si 2.42
Si 0.6259 0.6259 0.2517  2 Re 2.41, 2 Ir 2.41, 1 Si 2.42
Tm 0.0000 0.0000 0.0000  4 Ir 3.18, 4 Re 3.18, 8 Si 3.20
Re 0.7500 0.2500 0.5000  4 Si 2.41

=====

Computed, not measured: an optimized crystal structure of ZrOs2Ru at the PBE-GGA level of DFT.

Output
ΔE_f: 0.12 eV per atom
calculated density: 14.93 Mg/m³

abc: 3.0372 4.5273 4.6328
angles: 90.00 90.00 90.00
Closest atoms and distances in Å follow each position.
Fractional positions:
Ru 0.5000 0.0000 0.5000  4 Zr 2.73, 4 Os 2.77, 2 Ru 3.04
Os 0.0000 0.0000 0.0000  6 Os 2.73-3.04, 4 Ru 2.77
Os 0.5000 0.5000 0.0000  6 Os 2.73-3.04, 4 Zr 2.77
Zr 0.0000 0.5000 0.5000  4 Ru 2.73, 4 Os 2.77, 2 Zr 3.04